LiPaAlCd | PBE | optimized geometry

Summary:
formation energy: 0.163 eV per atom

Cell: 6.8935 6.8935 6.8935 Å, 90.00 90.00 90.00°
Space group F-43m (No. 216)
One atom of each set of equivalent atoms:
Li  0.0000  0.0000  0.0000
Pa  0.2500  0.2500  0.2500
Al  0.0000  0.0000  0.5000
Cd  0.2500  0.2500  0.7500